Entry 1:
# PBE NaGaPb, optimized geometry
data_NaGaPb
_chemical_formula_sum 'Na4 Ga4 Pb4'
_cell_length_a 6.6086
_cell_length_b 4.6134
_cell_length_c 10.0609
_cell_angle_alpha 90.00
_cell_angle_beta 90.00
_cell_angle_gamma 90.00
_symmetry_space_group_name_H-M 'P n m a'
_symmetry_Int_Tables_number 62
loop_
_symmetry_equiv_pos_as_xyz
'x,y,z'
'-x,-y,-z'
'-x+1/2,-y,z+1/2'
'x+1/2,y,-z+1/2'
'x+1/2,-y+1/2,-z+1/2'
'-x+1/2,y+1/2,z+1/2'
'-x,y+1/2,-z'
'x,-y+1/2,z'
loop_
_atom_site_label
_atom_site_fract_x
_atom_site_fract_y
_atom_site_fract_z
Na1 0.1275 0.2500 0.0910
Ga1 0.1012 0.2500 0.7364
Pb1 0.1305 0.2500 0.4150
# Energy of formation from the pure elements, kJ/mol of atoms: -5.2



Entry 2:
# PBE UCoP, optimized geometry
data_UCoP
_chemical_formula_sum 'U2 Co2 P2'
_cell_length_a 4.0422
_cell_length_b 5.4443
_cell_length_c 4.9731
_cell_angle_alpha 90.00
_cell_angle_beta 90.00
_cell_angle_gamma 90.00
_symmetry_space_group_name_H-M 'I m m 2'
_symmetry_Int_Tables_number 44
loop_
_symmetry_equiv_pos_as_xyz
'x,y,z'
'-x,-y,z'
'-x,y,z'
'x,-y,z'
'x+1/2,y+1/2,z+1/2'
'-x+1/2,-y+1/2,z+1/2'
'-x+1/2,y+1/2,z+1/2'
'x+1/2,-y+1/2,z+1/2'
loop_
_atom_site_label
_atom_site_fract_x
_atom_site_fract_y
_atom_site_fract_z
U1 0.0000 0.0000 0.0000
Co1 0.0000 0.0000 0.4470
P1 0.0000 0.5000 0.1096
# Energy of formation from the pure elements, kJ/mol of atoms: -40.6



Entry 3:
# PBE Nd3GaBrCl, optimized geometry
data_Nd3GaBrCl
_chemical_formula_sum 'Nd6 Ga2 Br2 Cl2'
_cell_length_a 9.2352
_cell_length_b 4.0157
_cell_length_c 9.6614
_cell_angle_alpha 90.00
_cell_angle_beta 103.32
_cell_angle_gamma 90.00
_symmetry_space_group_name_H-M 'P 1 21/m 1'
_symmetry_Int_Tables_number 11
loop_
_symmetry_equiv_pos_as_xyz
'x,y,z'
'-x,-y,-z'
'-x,y+1/2,-z'
'x,-y+1/2,z'
loop_
_atom_site_label
_atom_site_fract_x
_atom_site_fract_y
_atom_site_fract_z
Nd1 0.1462 0.2500 0.0982
Nd2 0.1503 0.2500 0.4718
Nd3 0.3009 0.7500 0.8204
Ga1 0.0455 0.2500 0.7593
Br1 0.4143 0.7500 0.1424
Cl1 0.3711 0.7500 0.5544
# Energy, eV/atom: -4.59



Entry 4:
# PBE ThNpGa6, optimized geometry
data_ThNpGa6
_chemical_formula_sum 'Th1 Np1 Ga6'
_cell_length_a 4.3441
_cell_length_b 4.3441
_cell_length_c 8.7136
_cell_angle_alpha 90.00
_cell_angle_beta 90.00
_cell_angle_gamma 90.00
_symmetry_space_group_name_H-M 'P 4/m m m'
_symmetry_Int_Tables_number 123
_symmetry_space_group_name_Hall '-P 4 2'
loop_
_atom_site_label
_atom_site_fract_x
_atom_site_fract_y
_atom_site_fract_z
Th1 0.0000 0.0000 0.0000
Np1 0.0000 0.0000 0.5000
Ga1 0.0000 0.5000 0.2610
Ga2 0.5000 0.5000 0.0000
Ga3 0.5000 0.5000 0.5000
# Energy of formation from the pure elements, kJ/mol of atoms: -32.3



Entry 5:
# PBE NaTi2Pd, optimized geometry
data_NaTi2Pd
_chemical_formula_sum 'Na4 Ti8 Pd4'
_cell_length_a 3.8707
_cell_length_b 3.8707
_cell_length_c 19.6495
_cell_angle_alpha 90.00
_cell_angle_beta 90.00
_cell_angle_gamma 90.00
_symmetry_space_group_name_H-M 'I -4 2 d'
_symmetry_Int_Tables_number 122
_symmetry_space_group_name_Hall 'I -4 2bw'
loop_
_atom_site_label
_atom_site_fract_x
_atom_site_fract_y
_atom_site_fract_z
Na1 0.0000 0.0000 0.0000
Ti1 0.2330 0.2500 0.6250
Pd1 0.0000 0.0000 0.5000
# Energy of formation from the pure elements, kJ/mol of atoms: 45.9
# E above lowest polymorph, meV per atom: 194



Entry 6:
# PBE Cs2RbSb6, optimized geometry
data_Cs2RbSb6
_chemical_formula_sum 'Cs4 Rb2 Sb12'
_cell_length_a 13.7487
_cell_length_b 13.2196
_cell_length_c 4.3595
_cell_angle_alpha 90.00
_cell_angle_beta 108.49
_cell_angle_gamma 90.00
_symmetry_space_group_name_H-M 'C 1 2/m 1'
_symmetry_Int_Tables_number 12
loop_
_symmetry_equiv_pos_as_xyz
'x,y,z'
'-x,-y,-z'
'-x,y,-z'
'x,-y,z'
'x+1/2,y+1/2,z'
'-x+1/2,-y+1/2,-z'
'-x+1/2,y+1/2,-z'
'x+1/2,-y+1/2,z'
loop_
_atom_site_label
_atom_site_fract_x
_atom_site_fract_y
_atom_site_fract_z
Cs1 0.1637 0.0000 0.1620
Rb1 0.0000 0.5000 0.5000
Sb1 0.0000 0.2590 0.0000
Sb2 0.1664 0.2543 0.6663
# Energy, eV/atom: -3.25



Quick rundown of mass density, same order as above: 6.5 10.0 5.9 9.0 5.1 4.8 g/cm³